(1)
# TaBe3 | Alexandria via LeMat-Bulk | GGA-PBE | optimized geometry
# D(E_F) = 0.36 states/eV/atom
# Formation enthalpy at 0 K = -0.14 eV/atom
# Space group = No. 194
# Magnetization = 0.00 μB/atom
data_TaBe3
_symmetry_space_group_name_H-M 'P 1'
_symmetry_Int_Tables_number 1
_symmetry_space_group_name_Hall 'P 1'
_cell_length_a 5.1841
_cell_length_b 5.1841
_cell_length_c 3.6132
_cell_angle_alpha 90.00
_cell_angle_beta 90.00
_cell_angle_gamma 120.00
loop_
_atom_site_label
_atom_site_type_symbol
_atom_site_fract_x
_atom_site_fract_y
_atom_site_fract_z
Ta1 Ta 0.6667 0.3333 0.7500
Ta2 Ta 0.3333 0.6667 0.2500
Be1 Be 0.8595 0.1405 0.2500
Be2 Be 0.2811 0.1405 0.2500
Be3 Be 0.1405 0.2811 0.7500
Be4 Be 0.1405 0.8595 0.7500
Be5 Be 0.8595 0.7189 0.2500
Be6 Be 0.7189 0.8595 0.7500

=====

(2)
# Er8FeAu2 | Alexandria via LeMat-Bulk | GGA-PBE | optimized geometry
# D(E_F) = 0.80 states/eV/atom
# Formation enthalpy at 0 K = -0.32 eV/atom
# Space group = No. 12
# Magnetization = 0.00 μB/atom
data_Er8FeAu2
_symmetry_space_group_name_H-M 'P 1'
_symmetry_Int_Tables_number 1
_symmetry_space_group_name_Hall 'P 1'
_cell_length_a 5.1049
_cell_length_b 6.7252
_cell_length_c 8.8951
_cell_angle_alpha 106.89
_cell_angle_beta 106.68
_cell_angle_gamma 90.00
loop_
_atom_site_label
_atom_site_type_symbol
_atom_site_fract_x
_atom_site_fract_y
_atom_site_fract_z
Au1 Au 0.8148 0.2877 0.6297
Au2 Au 0.1852 0.7123 0.3703
Er1 Er 0.0276 0.7952 0.0551
Er2 Er 0.6582 0.9627 0.3163
Er3 Er 0.9724 0.2048 0.9449
Er4 Er 0.4096 0.5714 0.8192
Er5 Er 0.3418 0.0373 0.6837
Er6 Er 0.5904 0.4286 0.1808
Er7 Er 0.2002 0.3027 0.4004
Er8 Er 0.7998 0.6973 0.5996
Fe1 Fe 0.5000 0.0000 0.0000

=====

(3)
# Li2FeNi | Alexandria via LeMat-Bulk | GGA-PBE | optimized geometry
# D(E_F) = 0.81 states/eV/atom
# Formation enthalpy at 0 K = 0.12 eV/atom
# Space group = No. 47
# Magnetization = 0.63 μB/atom
data_Li2FeNi
_symmetry_space_group_name_H-M 'P 1'
_symmetry_Int_Tables_number 1
_symmetry_space_group_name_Hall 'P 1'
_cell_length_a 2.6070
_cell_length_b 4.1802
_cell_length_c 4.4189
_cell_angle_alpha 90.00
_cell_angle_beta 90.00
_cell_angle_gamma 90.00
loop_
_atom_site_label
_atom_site_type_symbol
_atom_site_fract_x
_atom_site_fract_y
_atom_site_fract_z
Fe1 Fe 0.0000 0.5000 0.5000
Ni1 Ni 0.5000 0.0000 0.5000
Li1 Li 0.0000 0.0000 0.0000
Li2 Li 0.5000 0.5000 0.0000

=====

(4)
# SrCl | Alexandria via LeMat-Bulk | GGA-PBE | optimized geometry
# D(E_F) = 0.47 states/eV/atom
# ΔE_f (raw) = -331 kJ/mol of formula units
# Space group = No. 59
# Magnetization = 0.00 μB/atom
data_SrCl
_symmetry_space_group_name_H-M 'P 1'
_symmetry_Int_Tables_number 1
_symmetry_space_group_name_Hall 'P 1'
_cell_length_a 4.4035
_cell_length_b 7.2408
_cell_length_c 14.1527
_cell_angle_alpha 90.00
_cell_angle_beta 90.00
_cell_angle_gamma 90.00
loop_
_atom_site_label
_atom_site_type_symbol
_atom_site_fract_x
_atom_site_fract_y
_atom_site_fract_z
Cl1 Cl 0.0000 0.0033 0.6381
Cl2 Cl 0.5000 0.3663 0.5000
Cl3 Cl 0.0000 0.0033 0.3619
Cl4 Cl 0.5000 0.9967 0.8619
Cl5 Cl 0.0000 0.6337 0.0000
Cl6 Cl 0.5000 0.9967 0.1381
Sr1 Sr 0.5000 0.2640 0.7004
Sr2 Sr 0.0000 0.7360 0.7996
Sr3 Sr 0.0000 0.6657 0.5000
Sr4 Sr 0.0000 0.7360 0.2004
Sr5 Sr 0.5000 0.3343 0.0000
Sr6 Sr 0.5000 0.2640 0.2996